Version 1
The following is a DFT calculation (PBE-GGA) of a relaxed Ba2PH2 crystal.

Cell: 4.077 4.077 14.654 Å, 90.00 90.00 90.00°
Space group I4/mmm (No. 139)
Symmetry-distinct sites (fractional):
Ba1 0.000 0.000 0.137
P1 0.000 0.000 0.500
H1 0.000 0.500 0.250

Spin magnetization (μB per formula unit): 0.000

=====

Version 2
The following is a DFT calculation (PBE-GGA) of a relaxed Ba2PH2 crystal.

Cell: 4.270 23.709 5.742 Å, 90.00 90.00 90.00°
Space group Cmc2_1 (No. 36)
Symmetry-distinct sites (fractional):
Ba1 0.000 0.042 0.000
Ba2 0.000 0.304 0.001
P1 0.000 0.101 0.500
H1 0.000 0.271 0.501
H2 0.000 0.500 0.250

Spin magnetization (μB per formula unit): 1.031

=====

Quick one: most stable of them? version 1

=====

Version 1
The following is a DFT calculation (PBE-GGA) of a relaxed BaP2H crystal.

Cell: 7.124 7.124 7.124 Å, 90.00 90.00 90.00°
Space group Fm-3m (No. 225)
Symmetry-distinct sites (fractional):
Ba1 0.000 0.000 0.000
P1 0.250 0.250 0.250
H1 0.000 0.000 0.500

Spin magnetization (μB per formula unit): 0.000

=====

Version 2
The following is a DFT calculation (PBE-GGA) of a relaxed BaP2H crystal.

Cell: 5.997 5.997 8.418 Å, 90.00 90.00 90.00°
Space group I4_1/amd (No. 141, origin choice 2)
Symmetry-distinct sites (fractional):
Ba1 0.000 0.250 0.375
P1 0.000 0.000 0.000
H1 0.000 0.250 0.875

Spin magnetization (μB per formula unit): 0.000

=====

Quick one: most stable of them? version 2

=====

Version 1
The following is a DFT calculation (PBE-GGA) of a relaxed BaPHPt2 crystal.

Cell: 4.412 4.412 6.576 Å, 90.00 90.00 90.00°
Space group P4/mmm (No. 123)
Symmetry-distinct sites (fractional):
Ba1 0.000 0.000 0.000
P1 0.000 0.000 0.500
H1 0.500 0.500 0.000
Pt1 0.000 0.500 0.500

Spin magnetization (μB per formula unit): 0.000

=====

Version 2
The following is a DFT calculation (PBE-GGA) of a relaxed BaPHPt2 crystal.

Cell: 4.177 4.177 5.139 Å, 90.00 90.00 90.00°
Space group P4/mmm (No. 123)
Symmetry-distinct sites (fractional):
Ba1 0.000 0.000 0.000
P1 0.500 0.500 0.000
H1 0.000 0.000 0.500
Pt1 0.000 0.500 0.500

Spin magnetization (μB per formula unit): 0.000

=====

Quick one: most stable of them? version 1

=====

Version 1
The following is a DFT calculation (PBE-GGA) of a relaxed BaP2HS crystal.

Cell: 6.746 6.746 5.953 Å, 90.00 90.00 90.00°
Space group P4/mmm (No. 123)
Symmetry-distinct sites (fractional):
Ba1 0.000 0.000 0.000
P1 0.000 0.500 0.000
H1 0.500 0.500 0.500
S1 0.000 0.000 0.500

Spin magnetization (μB per formula unit): 7.011

=====

Version 2
The following is a DFT calculation (PBE-GGA) of a relaxed BaP2HS crystal.

Cell: 4.138 4.138 5.893 Å, 90.00 90.00 90.00°
Space group P4/mmm (No. 123)
Symmetry-distinct sites (fractional):
Ba1 0.000 0.000 0.000
P1 0.000 0.500 0.500
H1 0.500 0.500 0.500
S1 0.500 0.500 0.000

Spin magnetization (μB per formula unit): 0.000

=====

Quick one: most stable of them? version 2